A plane-wave DFT calculation with PBE was carried out for a relaxed BaLi2SbRh crystal.

Cell: 5.038 5.038 5.043 Å, 90.00 90.00 90.00°
Fractional positions:
1 Sb 0.000 0.000 0.500
2 Rh 0.000 0.000 0.000
3 Ba 0.500 0.500 0.500
4 Li 0.000 0.500 0.000
5 Li 0.500 0.000 0.000

Calculated values
**V**: 25.6 Å³ per atom
**M_tot**: 0.01 μB per cell
**Electronic total energy**: -19.37 eV per formula unit
**DOS at the Fermi energy**: 2.6 states/eV/f.u.
**Mass density**: 4.9 g cm⁻³

***

A plane-wave DFT calculation with PBE was carried out for a relaxed BaLiRhSe3 crystal.

Cell: 6.740 6.867 7.510 Å, 117.20 90.00 90.00°
Fractional positions:
1 Ba 0.750 0.204 0.408
2 Ba 0.250 0.796 0.592
3 Li 0.250 0.431 0.862
4 Li 0.750 0.569 0.138
5 Rh 0.250 0.058 0.117
6 Rh 0.750 0.942 0.883
7 Se 0.250 0.247 0.493
8 Se 0.000 0.236 0.000
9 Se 0.500 0.764 0.000
10 Se 0.500 0.236 0.000
11 Se 0.000 0.764 0.000
12 Se 0.750 0.753 0.507

Calculated values
**V**: 25.8 Å³ per atom
**M_tot**: 0.00 μB per cell
**Electronic total energy**: -27.60 eV per formula unit
**DOS at the Fermi energy**: 3.2 states/eV/f.u.
**Mass density**: 5.2 g cm⁻³

***

A plane-wave DFT calculation with PBE was carried out for a relaxed Ba2LiRhSe crystal.

Cell: 5.868 5.868 4.648 Å, 90.00 90.00 90.00°
Fractional positions:
1 Rh 0.000 0.000 0.000
2 Ba 0.000 0.500 0.000
3 Ba 0.500 0.000 0.000
4 Se 0.500 0.500 0.500
5 Li 0.000 0.000 0.500

Calculated values
**V**: 32.0 Å³ per atom
**M_tot**: 0.00 μB per cell
**Electronic total energy**: -19.77 eV per formula unit
**DOS at the Fermi energy**: 0.5 states/eV/f.u.
**Mass density**: 4.8 g cm⁻³

***

A plane-wave DFT calculation with PBE was carried out for a relaxed Ba2LiSnRh2 crystal.

Cell: 6.005 6.759 9.088 Å, 111.83 109.29 90.00°
Fractional positions:
1 Ba 0.401 0.167 0.335
2 Ba 0.599 0.833 0.665
3 Ba 0.066 0.333 0.665
4 Ba 0.934 0.667 0.335
5 Li 0.000 0.750 0.000
6 Li 0.000 0.250 0.000
7 Sn 0.500 0.750 0.000
8 Sn 0.500 0.250 0.000
9 Rh 0.829 0.100 0.200
10 Rh 0.372 0.600 0.200
11 Rh 0.628 0.400 0.800
12 Rh 0.171 0.900 0.800

Calculated values
**V**: 26.7 Å³ per atom
**M_tot**: 0.00 μB per cell
**Calculated formation energy**: -0.31 eV per atom
**DOS at the Fermi energy**: 3.3 states/eV/f.u.
**Mass density**: 6.3 g cm⁻³

***

A plane-wave DFT calculation with PBE was carried out for a relaxed Ba2LiSnRh crystal.

Cell: 6.093 6.093 5.161 Å, 90.00 90.00 90.00°
Fractional positions:
1 Li 0.500 0.500 0.500
2 Rh 0.000 0.000 0.000
3 Ba 0.000 0.500 0.000
4 Ba 0.500 0.000 0.000
5 Sn 0.000 0.000 0.500

Calculated values
**V**: 38.3 Å³ per atom
**M_tot**: 0.36 μB per cell
**Calculated formation energy**: -0.26 eV per atom
**DOS at the Fermi energy**: 4.6 states/eV/f.u.
**Mass density**: 4.4 g cm⁻³

***

A plane-wave DFT calculation with PBE was carried out for a relaxed Ba2SrLiRh crystal.

Cell: 6.085 6.085 5.954 Å, 90.00 90.00 90.00°
Fractional positions:
1 Sr 0.000 0.000 0.500
2 Rh 0.000 0.000 0.000
3 Ba 0.000 0.500 0.000
4 Ba 0.500 0.000 0.000
5 Li 0.500 0.500 0.500

Calculated values
**V**: 44.1 Å³ per atom
**Excess energy over the best structure of this formula in the dataset**: 0 meV/atom
**M_tot**: 0.00 μB per cell
**Calculated formation energy**: -0.09 eV per atom
**DOS at the Fermi energy**: 3.9 states/eV/f.u.
**Mass density**: 3.6 g cm⁻³

***

A plane-wave DFT calculation with PBE was carried out for a relaxed BaSrLi2Rh crystal.

Cell: 5.344 5.344 5.541 Å, 90.00 90.00 90.00°
Fractional positions:
1 Sr 0.500 0.500 0.500
2 Rh 0.000 0.000 0.000
3 Ba 0.000 0.000 0.500
4 Li 0.000 0.500 0.000
5 Li 0.500 0.000 0.000

Calculated values
**V**: 31.6 Å³ per atom
**Excess energy over the best structure of this formula in the dataset**: 59 meV/atom
**M_tot**: 0.00 μB per cell
**Calculated formation energy**: 0.14 eV per atom
**DOS at the Fermi energy**: 3.9 states/eV/f.u.
**Mass density**: 3.6 g cm⁻³

***

A plane-wave DFT calculation with PBE was carried out for a relaxed BaSrLi2Rh crystal.

Cell: 5.315 5.315 5.483 Å, 90.00 90.00 90.00°
Fractional positions:
1 Sr 0.000 0.000 0.500
2 Rh 0.000 0.000 0.000
3 Ba 0.500 0.500 0.500
4 Li 0.000 0.500 0.000
5 Li 0.500 0.000 0.000

Calculated values
**V**: 31.0 Å³ per atom
**Excess energy over the best structure of this formula in the dataset**: 0 meV/atom
**M_tot**: 0.00 μB per cell
**Calculated formation energy**: 0.08 eV per atom
**DOS at the Fermi energy**: 4.0 states/eV/f.u.
**Mass density**: 3.7 g cm⁻³

***

A plane-wave DFT calculation with PBE was carried out for a relaxed Ba2SrLiRh crystal.

Cell: 6.035 6.035 5.539 Å, 90.00 90.00 90.00°
Fractional positions:
1 Sr 0.500 0.500 0.500
2 Rh 0.000 0.000 0.000
3 Ba 0.000 0.500 0.000
4 Ba 0.500 0.000 0.000
5 Li 0.000 0.000 0.500

Calculated values
**V**: 40.4 Å³ per atom
**Excess energy over the best structure of this formula in the dataset**: 135 meV/atom
**M_tot**: 0.00 μB per cell
**Calculated formation energy**: 0.04 eV per atom
**DOS at the Fermi energy**: 4.7 states/eV/f.u.
**Mass density**: 3.9 g cm⁻³

***

A plane-wave DFT calculation with PBE was carried out for a relaxed BaLiTe2Rh crystal.

Cell: 5.425 5.425 4.752 Å, 90.00 90.00 90.00°
Fractional positions:
1 Te 0.000 0.500 0.000
2 Te 0.500 0.000 0.000
3 Rh 0.000 0.000 0.000
4 Ba 0.500 0.500 0.500
5 Li 0.000 0.000 0.500

Calculated values
**V**: 28.0 Å³ per atom
**M_tot**: 0.00 μB per cell
**Electronic total energy**: -21.18 eV per formula unit
**DOS at the Fermi energy**: 5.7 states/eV/f.u.
**Mass density**: 6.0 g cm⁻³

***

A plane-wave DFT calculation with PBE was carried out for a relaxed Ba2LiTeRh crystal.

Cell: 5.945 5.945 4.795 Å, 90.00 90.00 90.00°
Fractional positions:
1 Te 0.500 0.500 0.500
2 Rh 0.000 0.000 0.000
3 Ba 0.000 0.500 0.000
4 Ba 0.500 0.000 0.000
5 Li 0.000 0.000 0.500

Calculated values
**V**: 33.9 Å³ per atom
**M_tot**: 0.00 μB per cell
**Electronic total energy**: -19.44 eV per formula unit
**DOS at the Fermi energy**: 0.7 states/eV/f.u.
**Mass density**: 5.0 g cm⁻³

***

A plane-wave DFT calculation with PBE was carried out for a relaxed Ba2LiTlRh crystal.

Cell: 6.039 6.039 5.360 Å, 90.00 90.00 90.00°
Fractional positions:
1 Tl 0.000 0.000 0.500
2 Rh 0.000 0.000 0.000
3 Ba 0.000 0.500 0.000
4 Ba 0.500 0.000 0.000
5 Li 0.500 0.500 0.500

Calculated values
**V**: 39.1 Å³ per atom
**Excess energy over the best structure of this formula in the dataset**: 0 meV/atom
**M_tot**: 0.00 μB per cell
**Calculated formation energy**: -0.15 eV per atom
**DOS at the Fermi energy**: 3.4 states/eV/f.u.
**Mass density**: 5.0 g cm⁻³

***

A plane-wave DFT calculation with PBE was carried out for a relaxed Ba2LiTlRh crystal.

Cell: 5.987 5.987 4.901 Å, 90.00 90.00 90.00°
Fractional positions:
1 Tl 0.500 0.500 0.500
2 Rh 0.000 0.000 0.000
3 Ba 0.000 0.500 0.000
4 Ba 0.500 0.000 0.000
5 Li 0.000 0.000 0.500

Calculated values
**V**: 35.1 Å³ per atom
**Excess energy over the best structure of this formula in the dataset**: 60 meV/atom
**M_tot**: 0.00 μB per cell
**Calculated formation energy**: -0.09 eV per atom
**DOS at the Fermi energy**: 5.6 states/eV/f.u.
**Mass density**: 5.6 g cm⁻³

***

A plane-wave DFT calculation with PBE was carried out for a relaxed BaLi2TlRh crystal.

Cell: 5.022 5.022 5.278 Å, 90.00 90.00 90.00°
Fractional positions:
1 Tl 0.000 0.000 0.500
2 Rh 0.000 0.000 0.000
3 Ba 0.500 0.500 0.500
4 Li 0.000 0.500 0.000
5 Li 0.500 0.000 0.000

Calculated values
**V**: 26.6 Å³ per atom
**M_tot**: 0.00 μB per cell
**Calculated formation energy**: -0.13 eV per atom
**DOS at the Fermi energy**: 3.5 states/eV/f.u.
**Mass density**: 5.7 g cm⁻³

***

A plane-wave DFT calculation with PBE was carried out for a relaxed Ba2LiVRh crystal.

Cell: 6.311 4.529 6.311 Å, 90.00 90.00 90.00°
Last column: magnetic moment on the atom in μB.
Fractional positions:
1 Li 0.500 0.500 0.500  0.00
2 Rh 0.000 0.500 0.000  0.01
3 Ba 0.000 0.000 0.500  0.12
4 Ba 0.500 0.000 0.000  0.11
5 V 0.000 0.000 0.000  2.07

Calculated values
**V**: 36.1 Å³ per atom
**M_tot**: 3.06 μB per cell
**Calculated formation energy**: 0.45 eV per atom
**DOS at the Fermi energy**: 4.5 states/eV/f.u.
**Mass density**: 4.0 g cm⁻³

***

A plane-wave DFT calculation with PBE was carried out for a relaxed BaLi2YRh crystal.

Cell: 5.294 5.294 5.127 Å, 90.00 90.00 90.00°
Fractional positions:
1 Y 0.000 0.000 0.500
2 Rh 0.000 0.000 0.000
3 Ba 0.500 0.500 0.500
4 Li 0.000 0.500 0.000
5 Li 0.500 0.000 0.000

Calculated values
**V**: 28.7 Å³ per atom
**M_tot**: 0.00 μB per cell
**Calculated formation energy**: -0.05 eV per atom
**DOS at the Fermi energy**: 3.6 states/eV/f.u.
**Mass density**: 4.0 g cm⁻³

***

A plane-wave DFT calculation with PBE was carried out for a relaxed BaLiZnRh crystal.

Cell: 4.446 4.446 6.119 Å, 68.70 68.70 60.00°
Fractional positions:
1 Ba 0.814 0.814 0.557
2 Li 0.000 0.000 0.000
3 Zn 0.297 0.297 0.109
4 Rh 0.615 0.615 0.156

Calculated values
**V**: 23.8 Å³ per atom
**M_tot**: 0.00 μB per cell
**Calculated formation energy**: -0.29 eV per atom
**DOS at the Fermi energy**: 1.7 states/eV/f.u.
**Mass density**: 5.5 g cm⁻³

***

A plane-wave DFT calculation with PBE was carried out for a relaxed Ba2LiZn6Rh crystal.

Cell: 7.012 6.760 6.758 Å, 60.03 61.15 89.96°
Fractional positions:
1 Ba 0.889 0.296 0.407
2 Ba 0.111 0.704 0.593
3 Li 0.000 0.000 0.000
4 Zn 0.357 0.251 0.498
5 Zn 0.642 0.750 0.106
6 Zn 0.358 0.856 0.894
7 Zn 0.642 0.144 0.106
8 Zn 0.358 0.250 0.894
9 Zn 0.643 0.749 0.502
10 Rh 0.500 0.500 0.000

Calculated values
**V**: 23.1 Å³ per atom
**M_tot**: 0.00 μB per cell
**Calculated formation energy**: -0.24 eV per atom
**DOS at the Fermi energy**: 4.3 states/eV/f.u.
**Mass density**: 5.6 g cm⁻³

***

A plane-wave DFT calculation with PBE was carried out for a relaxed Ba2LiRu crystal.

Cell: 5.930 5.930 5.930 Å, 131.55 131.55 70.93°
Fractional positions:
1 Ba 0.000 0.000 0.000
2 Ba 0.250 0.750 0.500
3 Li 0.500 0.500 0.000
4 Ru 0.750 0.250 0.500

Calculated values
**V**: 28.6 Å³ per atom
**Excess energy over the best structure of this formula in the dataset**: 277 meV/atom
**M_tot**: 0.00 μB per cell
**Calculated formation energy**: 0.55 eV per atom
**DOS at the Fermi energy**: 3.4 states/eV/f.u.
**Mass density**: 5.6 g cm⁻³

***

A plane-wave DFT calculation with PBE was carried out for a relaxed BaLiRu2 crystal.

Cell: 4.799 4.799 4.799 Å, 60.00 60.00 60.00°
Last column: magnetic moment on the atom in μB.
Fractional positions:
1 Ba 0.500 0.500 0.500  -0.03
2 Li 0.750 0.750 0.750  -0.01
3 Ru 0.000 0.000 0.000  1.10
4 Ru 0.250 0.250 0.250  0.92

Calculated values
**V**: 19.5 Å³ per atom
**Excess energy over the best structure of this formula in the dataset**: 531 meV/atom
**M_tot**: 2.03 μB per cell
**Calculated formation energy**: 0.78 eV per atom
**DOS at the Fermi energy**: 5.0 states/eV/f.u.
**Mass density**: 7.4 g cm⁻³